# 1
The following is a GGA-PBE calculation of a relaxed Ge2BIr crystal, from OQMD.

Results
Crystal system: cubic

Unit cell a=6.0744 b=6.0744 c=6.0744 alpha=90.00 beta=90.00 gamma=90.00
Space group F-43m (No. 216)
Symmetry-distinct sites (fractional):
Ge (0.0000, 0.0000, 0.0000)
Ge (0.2500, 0.2500, 0.2500)
B (0.0000, 0.0000, 0.5000)
Ir (0.2500, 0.2500, 0.7500)

***

# 2
The following is a GGA-PBE calculation of a relaxed GeB4Ir crystal, from OQMD.

Results
Energy relative to the lowest polymorph listed for this composition in kcal/mol of atoms: 0.00
Crystal system: hexagonal

Unit cell a=3.1158 b=3.1158 c=6.8763 alpha=90.00 beta=90.00 gamma=120.00
Space group P6/mmm (No. 191)
Symmetry-distinct sites (fractional):
Ge (0.0000, 0.0000, 0.0000)
B (0.3333, 0.6667, 0.2690)
Ir (0.0000, 0.0000, 0.5000)

***

# 3
The following is a GGA-PBE calculation of a relaxed MgGeBIr crystal, from OQMD.

Results
Energy relative to the lowest polymorph listed for this composition in kcal/mol of atoms: 0.00
Crystal system: cubic

Unit cell a=5.9677 b=5.9677 c=5.9677 alpha=90.00 beta=90.00 gamma=90.00
Space group F-43m (No. 216)
Symmetry-distinct sites (fractional):
Mg (0.0000, 0.0000, 0.0000)
Ge (0.2500, 0.2500, 0.2500)
B (0.2500, 0.2500, 0.7500)
Ir (0.0000, 0.0000, 0.5000)

***

# 4
The following is a GGA-PBE calculation of a relaxed MgGeBIr crystal, from OQMD.

Results
Energy relative to the lowest polymorph listed for this composition in kcal/mol of atoms: 6.14
Crystal system: cubic

Unit cell a=6.1039 b=6.1039 c=6.1039 alpha=90.00 beta=90.00 gamma=90.00
Space group F-43m (No. 216)
Symmetry-distinct sites (fractional):
Mg (0.0000, 0.0000, 0.0000)
Ge (0.0000, 0.0000, 0.5000)
B (0.2500, 0.2500, 0.2500)
Ir (0.2500, 0.2500, 0.7500)

***

# 5
The following is a GGA-PBE calculation of a relaxed LiGeBPd crystal, from OQMD.

Results
Energy relative to the lowest polymorph listed for this composition in kcal/mol of atoms: 0.00
Crystal system: cubic

Unit cell a=5.8512 b=5.8512 c=5.8512 alpha=90.00 beta=90.00 gamma=90.00
Space group F-43m (No. 216)
Symmetry-distinct sites (fractional):
Li (0.0000, 0.0000, 0.0000)
Ge (0.2500, 0.2500, 0.2500)
B (0.2500, 0.2500, 0.7500)
Pd (0.0000, 0.0000, 0.5000)

***

# 6
The following is a GGA-PBE calculation of a relaxed LiGeBPd crystal, from OQMD.

Results
Energy relative to the lowest polymorph listed for this composition in kcal/mol of atoms: 1.29
Crystal system: cubic

Unit cell a=5.8059 b=5.8059 c=5.8059 alpha=90.00 beta=90.00 gamma=90.00
Space group F-43m (No. 216)
Symmetry-distinct sites (fractional):
Li (0.0000, 0.0000, 0.0000)
Ge (0.2500, 0.2500, 0.7500)
B (0.0000, 0.0000, 0.5000)
Pd (0.2500, 0.2500, 0.2500)

***

# 7
The following is a GGA-PBE calculation of a relaxed LiGeBPt crystal, from OQMD.

Results
Energy relative to the lowest polymorph listed for this composition in kcal/mol of atoms: 4.06
Crystal system: cubic

Unit cell a=5.8336 b=5.8336 c=5.8336 alpha=90.00 beta=90.00 gamma=90.00
Space group F-43m (No. 216)
Symmetry-distinct sites (fractional):
Li (0.0000, 0.0000, 0.0000)
Ge (0.2500, 0.2500, 0.7500)
B (0.0000, 0.0000, 0.5000)
Pt (0.2500, 0.2500, 0.2500)

***

# 8
The following is a GGA-PBE calculation of a relaxed LiGeBPt crystal, from OQMD.

Results
Energy relative to the lowest polymorph listed for this composition in kcal/mol of atoms: 0.00
Crystal system: cubic

Unit cell a=5.8452 b=5.8452 c=5.8452 alpha=90.00 beta=90.00 gamma=90.00
Space group F-43m (No. 216)
Symmetry-distinct sites (fractional):
Li (0.0000, 0.0000, 0.0000)
Ge (0.2500, 0.2500, 0.7500)
B (0.2500, 0.2500, 0.2500)
Pt (0.0000, 0.0000, 0.5000)

***

Number 1: VASP energy -0.3997 Ry per atom, ρ 10.32 g cm⁻³. Number 2: VASP energy -0.4565 Ry per atom, ρ 8.85 g cm⁻³. Number 3: VASP energy -0.3761 Ry per atom, ρ 9.37 g cm⁻³. Number 4: VASP energy -0.3565 Ry per atom, ρ 8.76 g cm⁻³. Number 5: VASP energy -0.3217 Ry per atom, ρ 6.53 g cm⁻³. Number 6: VASP energy -0.3176 Ry per atom, ρ 6.68 g cm⁻³. Number 7: VASP energy -0.3323 Ry per atom, ρ 9.55 g cm⁻³. Number 8: VASP energy -0.3452 Ry per atom, ρ 9.49 g cm⁻³.